1.
Density functional theory data (PBEsol) for SrBe3Co after structural relaxation.

POSCAR file:
```
SrBe3Co
1.0
4.200 0.000 0.000
0.000 4.200 0.000
0.000 0.000 4.200
Sr Be Co
1 3 1
Direct
0.000 0.000 0.000
0.000 0.500 0.500
0.500 0.000 0.500
0.500 0.500 0.000
0.500 0.500 0.500
```

Computed properties:
**Calculated formation energy**: 0.18 eV/atom
**Total DFT energy (no corrections)**: -4.136 eV per atom
**Total magnetic moment**: 0.0 Bohr magnetons per cell

2.
Density functional theory data (PBEsol) for Ba2FeAg after structural relaxation.

POSCAR file:
```
Ba2FeAg
1.0
3.653 0.000 0.000
0.000 3.653 0.000
0.000 0.000 9.214
Ba Fe Ag
2 1 1
Direct
0.000 0.000 0.000
0.500 0.500 0.413
0.000 0.000 0.660
0.500 0.500 0.758
```

Computed properties:
**Calculated formation energy**: 0.45 eV/atom
**Total DFT energy (no corrections)**: -3.697 eV per atom
**Total magnetic moment**: 2.9 Bohr magnetons per cell

3.
Density functional theory data (PBEsol) for LiSi2Sb after structural relaxation.

POSCAR file:
```
LiSi2Sb
1.0
-3.153 3.153 5.010
3.153 -3.153 5.010
3.153 3.153 -5.010
Li Si Sb
2 4 2
Direct
0.000 0.000 0.000
0.750 0.250 0.500
0.115 0.625 0.990
0.375 0.365 0.490
0.635 0.125 0.010
0.875 0.885 0.510
0.250 0.750 0.500
0.500 0.500 0.000
```

Computed properties:
**Formation energy from raw total energies**: 0.54 eV/atom
**Total DFT energy (no corrections)**: -3.962 eV per atom
**Total magnetic moment**: 0.0 Bohr magnetons per cell

4.
Density functional theory data (PBEsol) for Zn3Cu after structural relaxation.

POSCAR file:
```
Zn3Cu
1.0
2.729 0.000 0.000
0.000 4.215 0.000
0.000 0.000 4.525
Zn Cu
3 1
Direct
0.000 0.000 0.000
0.000 0.500 0.345
0.500 0.500 0.834
0.500 0.000 0.500
```

Computed properties:
**Calculated formation energy**: -0.07 eV/atom
**Total DFT energy (no corrections)**: -2.342 eV per atom
**Total magnetic moment**: 0.0 Bohr magnetons per cell

5.
Density functional theory data (PBEsol) for BiIrAu3 after structural relaxation.

POSCAR file:
```
BiIrAu3
1.0
5.111 0.000 0.000
0.000 5.111 0.000
0.000 0.000 5.111
Bi Ir Au
1 1 3
Direct
0.000 0.000 0.000
0.500 0.500 0.500
0.000 0.000 0.500
0.000 0.500 0.000
0.500 0.000 0.000
```

Computed properties:
**Calculated formation energy**: 1.85 eV/atom
**Total DFT energy (no corrections)**: -3.327 eV per atom
**Total magnetic moment**: 1.8 Bohr magnetons per cell

6.
Density functional theory data (PBEsol) for AlHOs2 after structural relaxation.

POSCAR file:
```
AlHOs2
1.0
-3.059 3.059 2.430
3.059 -3.059 2.430
3.059 3.059 -2.430
Al H Os
2 2 4
Direct
0.000 0.000 0.000
0.750 0.250 0.500
0.250 0.750 0.500
0.500 0.500 0.000
0.224 0.625 0.099
0.375 0.474 0.599
0.526 0.125 0.901
0.875 0.776 0.401
```

Computed properties:
**Total DFT energy (no corrections)**: -7.730 eV per atom
**Total magnetic moment**: 0.0 Bohr magnetons per cell